Record 1
Below is a geometry-optimized Y2InSn3 structure, with properties calculated at the PBE-GGA level.

Structure (POSCAR):
```
Y2InSn3
1.0
5.986 0.000 0.000
0.000 7.970 -0.120
0.000 -2.731 7.489
Sn In Y
6 2 4
Direct
0.500 0.199 0.801
0.750 0.581 0.581
0.000 0.199 0.801
0.500 0.801 0.199
0.250 0.419 0.419
0.000 0.801 0.199
0.750 0.903 0.903
0.250 0.097 0.097
0.250 0.845 0.561
0.750 0.439 0.155
0.750 0.155 0.439
0.250 0.561 0.845
```

distance to the lowest polymorph of the same formula = 317 meV per atom

***

Record 2
Below is a geometry-optimized YInSn structure, with properties calculated at the PBE-GGA level.

Structure (POSCAR):
```
YInSn
1.0
-3.791 -1.417 1.477
1.811 -4.103 0.711
1.182 4.270 7.129
Sn In Y
2 2 2
Direct
0.750 0.570 0.140
0.250 0.430 0.860
0.750 0.256 0.511
0.250 0.744 0.489
0.750 0.909 0.818
0.250 0.091 0.182
```

distance to the lowest polymorph of the same formula = 0 meV per atom

***

Record 3
Below is a geometry-optimized YInSn4 structure, with properties calculated at the PBE-GGA level.

Structure (POSCAR):
```
YInSn4
1.0
-0.740 -2.942 -5.398
-4.974 -3.571 -0.924
-4.426 1.813 -3.933
Sn In Y
4 1 1
Direct
0.625 0.625 0.625
0.124 0.625 0.625
0.625 0.124 0.625
0.625 0.625 0.124
0.250 0.250 0.250
0.000 0.000 0.000
```

***

Record 4
Below is a geometry-optimized YIn3Sn structure, with properties calculated at the PBE-GGA level.

Structure (POSCAR):
```
YIn3Sn
1.0
5.785 0.000 0.000
0.000 5.785 0.000
0.000 0.000 5.785
Sn Y In
1 1 3
Direct
0.500 0.500 0.500
0.000 0.000 0.000
0.000 0.500 0.000
0.500 0.000 0.000
0.000 0.000 0.500
```

distance to the lowest polymorph of the same formula = 153 meV per atom

***

Record 5
Below is a geometry-optimized Y2InSn structure, with properties calculated at the PBE-GGA level.

Structure (POSCAR):
```
Y2InSn
1.0
4.377 0.000 -1.251
0.000 4.314 0.000
-0.617 0.000 6.122
Sn In Y
1 1 2
Direct
0.358 0.000 0.717
0.535 0.500 0.070
0.809 0.500 0.618
0.082 0.000 0.164
```

***

Record 6
Below is a geometry-optimized Y6In5Sn structure, with properties calculated at the PBE-GGA level.

Structure (POSCAR):
```
Y6In5Sn
1.0
5.176 -0.008 -1.453
-3.890 7.432 -3.928
-0.221 -1.158 9.188
Y Sn In
6 1 5
Direct
0.254 0.754 0.754
0.752 0.917 0.587
0.752 0.587 0.917
0.746 0.246 0.246
0.248 0.083 0.413
0.248 0.413 0.083
0.000 0.000 0.000
0.000 0.666 0.334
0.000 0.334 0.666
0.500 0.500 0.500
0.500 0.171 0.829
0.500 0.829 0.171
```

***

Record 7
Below is a geometry-optimized YInSn structure, with properties calculated at the PBE-GGA level.

Structure (POSCAR):
```
YInSn
1.0
-5.540 1.999 1.163
-1.433 -0.379 -6.173
1.442 -5.004 -0.028
In Y Sn
2 2 2
Direct
0.686 0.250 0.872
0.314 0.750 0.128
0.324 0.250 0.148
0.676 0.750 0.852
0.000 0.000 0.500
0.000 0.500 0.500
```

distance to the lowest polymorph of the same formula = 183 meV per atom

***

Record 8
Below is a geometry-optimized YIn3Sn structure, with properties calculated at the PBE-GGA level.

Structure (POSCAR):
```
YIn3Sn
1.0
5.573 0.000 0.000
0.000 5.573 0.000
0.000 0.000 5.573
In Y Sn
3 1 1
Direct
0.500 0.000 0.000
0.000 0.500 0.000
0.000 0.000 0.500
0.500 0.500 0.500
0.000 0.000 0.000
```

distance to the lowest polymorph of the same formula = 0 meV per atom

***

Record 9
Below is a geometry-optimized Y10In3Sn3 structure, with properties calculated at the PBE-GGA level.

Structure (POSCAR):
```
Y10In3Sn3
1.0
6.658 0.000 0.000
0.000 7.787 -4.496
0.000 0.000 8.992
In Sn Y
3 3 10
Direct
0.000 0.000 0.601
0.000 0.601 0.000
0.000 0.399 0.399
0.500 0.000 0.397
0.500 0.603 0.603
0.500 0.397 0.000
0.753 0.667 0.333
0.247 0.667 0.333
0.500 0.761 0.000
0.500 0.239 0.239
0.000 0.762 0.762
0.753 0.333 0.667
0.500 0.000 0.761
0.000 0.000 0.238
0.247 0.333 0.667
0.000 0.238 0.000
```

***

Record 10
Below is a geometry-optimized Y2InSn structure, with properties calculated at the PBE-GGA level.

Structure (POSCAR):
```
Y2InSn
1.0
4.308 0.000 0.000
0.000 6.154 -0.121
0.000 -3.229 8.535
Sn Y In
2 4 2
Direct
0.250 0.327 0.706
0.750 0.673 0.294
0.250 0.774 0.567
0.250 0.771 0.071
0.750 0.226 0.433
0.750 0.229 0.929
0.750 0.681 0.796
0.250 0.319 0.204
```

***

Record 11
Below is a geometry-optimized Y2In5Sn structure, with properties calculated at the PBE-GGA level.

Structure (POSCAR):
```
Y2In5Sn
1.0
4.605 0.000 0.000
0.000 6.648 0.000
0.000 0.000 13.208
Sn In Y
2 10 4
Direct
0.000 0.000 0.500
0.000 0.500 0.000
0.500 0.264 0.371
0.000 0.986 0.751
0.000 0.500 0.500
0.500 0.764 0.129
0.500 0.736 0.629
0.000 0.014 0.249
0.000 0.486 0.749
0.000 0.000 0.000
0.000 0.514 0.251
0.500 0.236 0.871
0.500 0.764 0.378
0.500 0.236 0.622
0.500 0.264 0.122
0.500 0.736 0.878
```

***

Record 12
Below is a geometry-optimized Y3InSn2 structure, with properties calculated at the PBE-GGA level.

Structure (POSCAR):
```
Y3InSn2
1.0
4.613 0.000 0.000
0.000 11.682 0.000
0.000 0.000 12.425
Y In Sn
12 4 8
Direct
0.250 0.687 0.205
0.750 0.878 0.461
0.250 0.075 0.863
0.250 0.813 0.705
0.250 0.425 0.363
0.750 0.925 0.137
0.750 0.313 0.795
0.250 0.122 0.539
0.250 0.378 0.039
0.750 0.575 0.637
0.750 0.622 0.961
0.750 0.187 0.295
0.750 0.867 0.860
0.750 0.633 0.360
0.250 0.367 0.640
0.250 0.133 0.140
0.250 0.818 0.995
0.750 0.182 0.005
0.750 0.318 0.505
0.750 0.472 0.181
0.250 0.972 0.319
0.250 0.682 0.495
0.250 0.528 0.819
0.750 0.028 0.681
```

***

Record 13
Below is a geometry-optimized YInSn structure, with properties calculated at the PBE-GGA level.

Structure (POSCAR):
```
YInSn
1.0
3.356 0.000 0.000
0.000 3.356 0.000
-1.678 -1.678 8.162
In Sn Y
1 1 1
Direct
0.953 0.953 0.907
0.132 0.132 0.264
0.765 0.765 0.529
```

distance to the lowest polymorph of the same formula = 447 meV per atom

***

Record 14
Below is a geometry-optimized Zn2In2Sn structure, with properties calculated at the PBE-GGA level.

Structure (POSCAR):
```
Zn2In2Sn
1.0
4.226 0.000 0.000
0.000 4.226 0.000
2.113 2.113 6.611
In Sn Zn
2 1 2
Direct
0.390 0.390 0.220
0.610 0.610 0.780
0.000 0.000 0.000
0.750 0.250 0.500
0.250 0.750 0.500
```

***

Record 15
Below is a geometry-optimized Zn2InSn structure, with properties calculated at the PBE-GGA level.

Structure (POSCAR):
```
Zn2InSn
1.0
-2.568 -2.392 -0.482
1.088 -0.496 -3.334
4.301 -5.050 2.155
In Zn Sn
1 2 1
Direct
0.500 0.500 0.000
0.000 0.000 0.243
0.000 0.000 0.757
0.500 0.500 0.500
```

distance to the lowest polymorph of the same formula = 21 meV per atom

***

Record 16
Below is a geometry-optimized ZnInSn structure, with properties calculated at the PBE-GGA level.

Structure (POSCAR):
```
ZnInSn
1.0
3.355 0.000 0.000
0.000 3.355 0.000
-1.678 -1.678 6.278
In Sn Zn
1 1 1
Direct
0.014 0.014 0.029
0.318 0.318 0.635
0.668 0.668 0.336
```

***

Record 17
Below is a geometry-optimized Zn2In2Sn structure, with properties calculated at the PBE-GGA level.

Structure (POSCAR):
```
Zn2In2Sn
1.0
-4.146 0.762 -1.097
0.321 -2.906 -3.230
-3.739 -5.516 1.653
Zn Sn In
2 1 2
Direct
0.599 0.599 0.802
0.401 0.401 0.198
0.000 0.000 0.000
0.750 0.250 0.500
0.250 0.750 0.500
```

***

Record 18
Below is a geometry-optimized ZnInSn structure, with properties calculated at the PBE-GGA level.

Structure (POSCAR):
```
ZnInSn
1.0
4.468 0.000 0.000
-2.234 3.869 0.000
0.000 0.000 4.298
Sn In Zn
1 1 1
Direct
0.000 0.000 0.057
0.333 0.667 0.628
0.667 0.333 0.315
```

***

Record 19
Below is a geometry-optimized Zn2InSn structure, with properties calculated at the PBE-GGA level.

Structure (POSCAR):
```
Zn2InSn
1.0
-2.305 -0.298 -2.617
-0.019 -2.874 -1.996
-6.205 -4.626 3.653
Zn Sn In
2 1 1
Direct
0.250 0.250 0.251
0.750 0.750 0.749
0.000 0.000 0.000
0.500 0.500 0.500
```

distance to the lowest polymorph of the same formula = 0 meV per atom

***

Record 20
Below is a geometry-optimized Zn2InSn structure, with properties calculated at the PBE-GGA level.

Structure (POSCAR):
```
Zn2InSn
1.0
-1.612 -1.089 3.841
-4.061 -1.398 0.313
-0.068 -6.297 0.599
Zn Sn In
2 1 1
Direct
0.248 0.248 0.257
0.087 0.087 0.740
0.494 0.494 0.519
0.672 0.672 0.984
```

distance to the lowest polymorph of the same formula = 19 meV per atom

***

Record 21
Below is a geometry-optimized Zn2In2Sn structure, with properties calculated at the PBE-GGA level.

Structure (POSCAR):
```
Zn2In2Sn
1.0
-5.087 1.982 4.985
-0.353 -6.979 2.414
3.039 0.808 2.780
Sn In Zn
2 4 4
Direct
0.500 0.500 0.000
0.000 0.000 0.000
0.677 0.823 0.500
0.823 0.323 0.500
0.177 0.677 0.500
0.323 0.177 0.500
0.623 0.123 0.000
0.377 0.877 0.000
0.123 0.377 0.000
0.877 0.623 0.000
```

***

Record 22
Below is a geometry-optimized ZnIn6Sn structure, with properties calculated at the PBE-GGA level.

Structure (POSCAR):
```
ZnIn6Sn
1.0
-0.499 5.708 -2.525
-5.417 -1.148 3.528
-0.621 4.341 4.886
In Sn Zn
6 1 1
Direct
0.732 0.479 0.521
0.748 0.999 0.521
0.252 0.521 0.999
0.252 0.001 0.479
0.268 0.521 0.479
0.748 0.479 0.001
0.000 0.000 0.000
0.500 0.000 0.000
```

***

Record 23
Below is a geometry-optimized Zn2InSn structure, with properties calculated at the PBE-GGA level.

Structure (POSCAR):
```
Zn2InSn
1.0
0.000 3.525 3.525
3.525 0.000 3.525
3.525 3.525 0.000
Sn In Zn
1 1 2
Direct
0.500 0.500 0.500
0.000 0.000 0.000
0.750 0.750 0.750
0.250 0.250 0.250
```

distance to the lowest polymorph of the same formula = 20 meV per atom

***

Number 1: DFT formation energy -259 meV per atom. Number 2: DFT formation energy -524 meV per atom. Number 3: DFT formation energy -129 meV per atom. Number 4: DFT formation energy 598 meV per atom. Number 5: DFT formation energy -645 meV per atom. Number 6: DFT formation energy -513 meV per atom. Number 7: DFT formation energy -341 meV per atom. Number 8: DFT formation energy 445 meV per atom. Number 9: DFT formation energy -597 meV per atom. Number 10: DFT formation energy -644 meV per atom. Number 11: DFT formation energy -428 meV per atom. Number 12: DFT formation energy -591 meV per atom. Number 13: DFT formation energy -77 meV per atom. Number 14: DFT formation energy 157 meV per atom. Number 15: DFT formation energy 131 meV per atom. Number 16: DFT formation energy 87 meV per atom. Number 17: DFT formation energy 134 meV per atom. Number 18: DFT formation energy 104 meV per atom. Number 19: DFT formation energy 110 meV per atom. Number 20: DFT formation energy 130 meV per atom. Number 21: DFT formation energy 83 meV per atom. Number 22: DFT formation energy 71 meV per atom. Number 23: DFT formation energy 130 meV per atom.